a | DFT (PBE with a Hubbard U) results for V2Cd3O8 after structural relaxation.

Cell and atoms, written as CIF:
```
data_V2Cd3O8
_cell_length_a 6.679
_cell_length_b 12.293
_cell_length_c 8.919
_cell_angle_alpha 90.00
_cell_angle_beta 90.00
_cell_angle_gamma 90.00
_symmetry_space_group_name_H-M 'C m c e'
_symmetry_Int_Tables_number 64
_symmetry_space_group_name_Hall '-C 2ac 2'
loop_
_atom_site_label
_atom_site_type_symbol
_atom_site_fract_x
_atom_site_fract_y
_atom_site_fract_z
V1 V 0.000 0.117 0.120
Cd1 Cd 0.000 0.000 0.500
Cd2 Cd 0.250 0.141 0.750
O1 O 0.000 0.001 0.247
O2 O 0.000 0.239 0.221
O3 O 0.212 0.116 0.009
```


b | DFT (PBE with a Hubbard U) results for V2Cd3O8 after structural relaxation.

Cell and atoms, written as CIF:
```
data_V2Cd3O8
_cell_length_a 7.017
_cell_length_b 5.461
_cell_length_c 10.025
_cell_angle_alpha 90.00
_cell_angle_beta 90.00
_cell_angle_gamma 90.00
_symmetry_space_group_name_H-M 'P m c 21'
_symmetry_Int_Tables_number 26
_symmetry_space_group_name_Hall 'P 2c -2'
loop_
_atom_site_label
_atom_site_type_symbol
_atom_site_fract_x
_atom_site_fract_y
_atom_site_fract_z
V1 V 0.000 0.228 0.000
V2 V 0.500 0.249 0.356
Cd1 Cd 0.241 0.262 0.681
Cd2 Cd 0.500 0.247 0.031
O1 O 0.000 0.214 0.826
O2 O 0.000 0.474 0.557
O3 O 0.210 0.080 0.054
O4 O 0.309 0.379 0.281
O5 O 0.500 0.075 0.816
O6 O 0.500 0.342 0.532
```


Stability ranking, top entry: a; the second entry is 0.010 eV/atom less favorable.